TlCrAsO6: optimized geometry, PBE+U.

Summary:
As for the space-group type: C2, No. 5. The value obtained for the total energy is -54.91 eV per formula unit.

Cell lengths 5.022, 5.022, 4.785 Å; angles 90.75, 90.75, 119.19 degrees
Fractional positions:
Tl1 0.000 0.000 0.000
Cr1 0.330 0.670 0.500
As1 0.672 0.328 0.500
O1 0.379 0.360 0.286
O2 0.385 0.004 0.717
O3 0.635 0.007 0.280
O4 0.640 0.621 0.714
O5 0.993 0.365 0.720
O6 0.996 0.615 0.283